No. 1
# GGA-PBE DyTiGa4, relaxed
data_DyTiGa4
_symmetry_space_group_name_H-M 'F -4 3 m'
_symmetry_Int_Tables_number 216
_symmetry_space_group_name_Hall 'F -4 2 3'
_cell_length_a 7.527
_cell_length_b 7.527
_cell_length_c 7.527
_cell_angle_alpha 90.00
_cell_angle_beta 90.00
_cell_angle_gamma 90.00
loop_
_atom_site_label
_atom_site_fract_x
_atom_site_fract_y
_atom_site_fract_z
Dy1 0.000 0.000 0.000
Ti1 0.250 0.250 0.750
Ga1 0.125 0.125 0.375
# E_tot in eV/atom: -4.48
# Total moment in μB per formula unit: 0.005

No. 2
# GGA-PBE BO2F3, relaxed
data_BO2F3
_symmetry_space_group_name_H-M 'P 1 21/c 1'
_symmetry_Int_Tables_number 14
_cell_length_a 6.274
_cell_length_b 7.928
_cell_length_c 8.232
_cell_angle_alpha 90.00
_cell_angle_beta 97.87
_cell_angle_gamma 90.00
loop_
_symmetry_equiv_pos_as_xyz
'x,y,z'
'-x,-y,-z'
'-x,y+1/2,-z+1/2'
'x,-y+1/2,z+1/2'
loop_
_atom_site_label
_atom_site_fract_x
_atom_site_fract_y
_atom_site_fract_z
B1 0.196 0.150 0.402
O1 0.288 0.683 0.370
O2 0.397 0.674 0.506
F1 0.088 0.206 0.895
F2 0.227 0.062 0.542
F3 0.272 0.090 0.270
# Energy relative to the elements, uncorrected in eV/atom: -1.8459
# E_tot in eV/atom: -5.55
# Total moment in μB per formula unit: 2.000

No. 3
# GGA-PBE TbGePt2, relaxed
data_TbGePt2
_symmetry_space_group_name_H-M 'P m m m'
_symmetry_Int_Tables_number 47
_cell_length_a 3.659
_cell_length_b 4.081
_cell_length_c 5.542
_cell_angle_alpha 90.00
_cell_angle_beta 90.00
_cell_angle_gamma 90.00
loop_
_symmetry_equiv_pos_as_xyz
'x,y,z'
'-x,-y,-z'
'-x,-y,z'
'x,y,-z'
'x,-y,-z'
'-x,y,z'
'-x,y,-z'
'x,-y,z'
loop_
_atom_site_label
_atom_site_fract_x
_atom_site_fract_y
_atom_site_fract_z
Tb1 0.000 0.000 0.000
Ge1 0.500 0.000 0.500
Pt1 0.500 0.500 0.243
# E_tot in eV/atom: -6.20
# Total moment in μB per formula unit: 0.000

No. 4
# GGA-PBE PmYPb6, relaxed
data_PmYPb6
_symmetry_space_group_name_H-M 'P 4/m m m'
_symmetry_Int_Tables_number 123
_symmetry_space_group_name_Hall '-P 4 2'
_cell_length_a 4.902
_cell_length_b 4.902
_cell_length_c 9.807
_cell_angle_alpha 90.00
_cell_angle_beta 90.00
_cell_angle_gamma 90.00
loop_
_atom_site_label
_atom_site_fract_x
_atom_site_fract_y
_atom_site_fract_z
Pm1 0.000 0.000 0.000
Y1 0.000 0.000 0.500
Pb1 0.000 0.500 0.253
Pb2 0.500 0.500 0.000
Pb3 0.500 0.500 0.500
# E_tot in eV/atom: -4.51
# Total moment in μB per formula unit: 0.000

The highest total moment belongs to which entry?
BO2F3